# Pm3Ho3Ge4

A relaxed structure of Pm3Ho3Ge4 (PBE, Alexandria).

Fermi-level density of states	0.874	states/eV per atom
formation energy	-0.784	eV/atom

```
Pm3Ho3Ge4
1.0
4.335 0.000 0.000
0.000 5.409 5.404
0.000 -5.409 5.404
Pm Ho Ge
3 3 4
Direct
0.000 0.000 0.000
0.000 0.497 0.846
0.000 0.846 0.497
0.000 0.347 0.347
0.500 0.172 0.673
0.500 0.673 0.172
0.500 0.054 0.298
0.500 0.298 0.054
0.500 0.544 0.544
0.500 0.795 0.795
```

=====

# Sc2OsCl

A relaxed structure of Sc2OsCl (PBE, Alexandria).

uncorrected formation energy	-11.4	kcal/mol of atoms
Fermi-level density of states	0.984	states/eV per atom
offset from the most stable computed form	449	meV per atom

```
Sc2OsCl
1.0
4.811 0.000 0.000
0.000 4.811 0.000
0.000 0.000 3.102
Sc Os Cl
2 1 1
Direct
0.000 0.500 0.000
0.500 0.000 0.000
0.000 0.000 0.500
0.500 0.500 0.500
```

=====

# Hf2Fe2Bi

A relaxed structure of Hf2Fe2Bi (PBE, Alexandria).

Fermi-level density of states	0.604	states/eV per atom
formation energy	-0.066	eV/atom

```
Hf2Fe2Bi
1.0
7.185 0.000 0.000
0.000 7.185 0.000
0.000 0.000 3.525
Hf Fe Bi
4 4 2
Direct
0.171 0.329 0.000
0.329 0.829 0.000
0.671 0.171 0.000
0.829 0.671 0.000
0.113 0.613 0.500
0.387 0.113 0.500
0.613 0.887 0.500
0.887 0.387 0.500
0.000 0.000 0.500
0.500 0.500 0.500
```

=====

# TbNdEr5Sc2

A relaxed structure of TbNdEr5Sc2 (PBE, Alexandria).

Fermi-level density of states	1.473	states/eV per atom
formation energy	0.172	eV/atom

```
TbNdEr5Sc2
1.0
2.779 -10.658 0.000
2.779 10.658 0.000
0.000 0.000 9.311
Tb Nd Er Sc
2 2 10 4
Direct
0.189 0.811 0.500
0.811 0.189 0.000
0.403 0.597 0.897
0.597 0.403 0.397
0.008 0.992 0.503
0.265 0.735 0.816
0.308 0.692 0.202
0.391 0.609 0.523
0.469 0.531 0.229
0.531 0.469 0.729
0.609 0.391 0.023
0.692 0.308 0.702
0.735 0.265 0.316
0.992 0.008 0.003
0.113 0.887 0.805
0.143 0.857 0.174
0.857 0.143 0.674
0.887 0.113 0.305
```

=====

# Zr3Ni3Bi4

A relaxed structure of Zr3Ni3Bi4 (PBE, Alexandria).

Fermi-level density of states	0.024	states/eV per atom
formation energy	-0.326	eV/atom

```
Zr3Ni3Bi4
1.0
-4.691 4.691 4.691
4.691 -4.691 4.691
4.691 4.691 -4.691
Zr Ni Bi
6 6 8
Direct
0.125 0.875 0.250
0.250 0.125 0.875
0.375 0.625 0.750
0.625 0.750 0.375
0.750 0.375 0.625
0.875 0.250 0.125
0.125 0.750 0.875
0.250 0.625 0.375
0.375 0.250 0.625
0.625 0.375 0.250
0.750 0.875 0.125
0.875 0.125 0.750
0.000 0.170 0.500
0.000 0.670 0.500
0.170 0.500 0.000
0.330 0.330 0.330
0.500 0.000 0.170
0.500 0.000 0.670
0.670 0.500 0.000
0.830 0.830 0.830
```

=====

# YCrCl2

A relaxed structure of YCrCl2 (PBE, Alexandria).

uncorrected formation energy	-17.1	kcal/mol of atoms
Fermi-level density of states	0.387	states/eV per atom
offset from the most stable computed form	76	meV per atom

```
YCrCl2
1.0
1.752 1.011 8.788
-1.752 1.011 8.788
0.000 -2.023 8.788
Y Cr Cl
1 1 2
Direct
0.000 0.000 0.000
0.500 0.500 0.500
0.407 0.407 0.407
0.593 0.593 0.593
```

=====

# CaMg30CuO32

A relaxed structure of CaMg30CuO32 (PBE, Alexandria).

uncorrected formation energy	-60.6	kcal/mol of atoms
Fermi-level density of states	0.045	states/eV per atom

```
CaMg30CuO32
1.0
8.584 0.000 0.000
0.000 8.584 0.000
0.000 0.000 8.508
Ca Mg Cu O
1 30 1 32
Direct
0.000 0.000 0.000
0.000 0.254 0.254
0.000 0.254 0.746
0.000 0.500 0.000
0.000 0.500 0.500
0.000 0.746 0.254
0.000 0.746 0.746
0.250 0.250 0.500
0.250 0.500 0.251
0.250 0.500 0.749
0.250 0.750 0.500
0.253 0.253 0.000
0.253 0.747 0.000
0.254 0.000 0.254
0.254 0.000 0.746
0.500 0.000 0.000
0.500 0.000 0.500
0.500 0.250 0.251
0.500 0.250 0.749
0.500 0.500 0.000
0.500 0.500 0.500
0.500 0.750 0.251
0.500 0.750 0.749
0.746 0.000 0.254
0.746 0.000 0.746
0.747 0.253 0.000
0.747 0.747 0.000
0.750 0.250 0.500
0.750 0.500 0.251
0.750 0.500 0.749
0.750 0.750 0.500
0.000 0.000 0.500
0.000 0.000 0.267
0.000 0.000 0.733
0.000 0.260 0.500
0.000 0.261 0.000
0.000 0.500 0.251
0.000 0.500 0.749
0.000 0.739 0.000
0.000 0.740 0.500
0.249 0.249 0.250
0.249 0.249 0.750
0.249 0.751 0.250
0.249 0.751 0.750
0.251 0.500 0.500
0.252 0.500 0.000
0.260 0.000 0.500
0.261 0.000 0.000
0.500 0.000 0.251
0.500 0.000 0.749
0.500 0.251 0.500
0.500 0.252 0.000
0.500 0.500 0.250
0.500 0.500 0.750
0.500 0.748 0.000
0.500 0.749 0.500
0.739 0.000 0.000
0.740 0.000 0.500
0.748 0.500 0.000
0.749 0.500 0.500
0.751 0.249 0.250
0.751 0.249 0.750
0.751 0.751 0.250
0.751 0.751 0.750
```

=====

# TbPm3PrNd

A relaxed structure of TbPm3PrNd (PBE, Alexandria).

Fermi-level density of states	1.839	states/eV per atom
formation energy	0.106	eV/atom

```
TbPm3PrNd
1.0
3.027 -5.639 0.000
3.027 5.639 0.000
0.000 0.000 12.071
Tb Pm Pr Nd
2 6 2 2
Direct
0.160 0.840 0.750
0.840 0.160 0.250
0.171 0.829 0.250
0.328 0.672 0.511
0.328 0.672 0.989
0.672 0.328 0.011
0.672 0.328 0.489
0.829 0.171 0.750
0.485 0.515 0.250
0.515 0.485 0.750
0.000 0.000 0.000
0.000 0.000 0.500
```

=====

Short version: M_tot = 0.0; 0.0; 6.4; 0.0; 0.0; 4.5; 1.0; 0.0 Bohr magnetons per cell, in the order given.
Short version: final energy = -5.4299; -6.9296; -8.2087; -4.8144; -6.1774; -5.6874; -5.9478; -4.6318 eV/atom, in the order given.